1.
Here is a relaxed structure of RhC3 from the Alexandria database. Energies are from GGA-PBE.

Computed properties:
Polymorph energy (0 for the lowest one) (meV/atom): 2449
Calculated total energy (eV/atom): -5.739
Energy of formation (eV per atom): 3.02

a = 3.615 Å, b = 3.615 Å, c = 2.737 Å
α = 90.00°, β = 90.00°, γ = 90.00°
Atoms (fractional coordinates):
C: 0.000 0.000 0.000
C: 0.500 0.000 0.500
C: 0.500 0.500 0.000
Rh: 0.000 0.500 0.500



2.
Here is a relaxed structure of MgTiNb2 from the Alexandria database. Energies are from GGA-PBE.

Computed properties:
Polymorph energy (0 for the lowest one) (meV/atom): 248
Calculated total energy (eV/atom): -6.852
Energy of formation (eV per atom): 0.56

a = 3.946 Å, b = 3.946 Å, c = 10.345 Å
α = 79.01°, β = 79.01°, γ = 90.00°
Atoms (fractional coordinates):
Nb: 0.637 0.125 0.250
Nb: 0.113 0.625 0.250
Nb: 0.375 0.363 0.750
Nb: 0.875 0.887 0.750
Mg: 0.500 0.500 0.000
Mg: 0.250 0.750 0.500
Ti: 0.000 0.000 0.000
Ti: 0.750 0.250 0.500



3.
Here is a relaxed structure of ErPaZn2 from the Alexandria database. Energies are from GGA-PBE.

Computed properties:
Polymorph energy (0 for the lowest one) (meV/atom): 0
Calculated total energy (eV/atom): -4.272
Energy of formation (eV per atom): -0.12

a = 3.202 Å, b = 3.202 Å, c = 8.309 Å
α = 90.00°, β = 90.00°, γ = 90.00°
Atoms (fractional coordinates):
Zn: 0.000 0.000 0.744
Zn: 0.000 0.000 0.256
Pa: 0.500 0.500 0.000
Er: 0.500 0.500 0.500



Look up the energy of formation of the third one.
-0.12 eV per atom



The highest calculated total energy belongs to which entry?
ErPaZn2